Material: Ba3Mo2O9
Method: DFT, GGA+U
State: relaxed

Energy in eV/atom: -6.93

Unit cell a=10.2749 b=10.2749 c=14.2275 alpha=90.00 beta=90.00 gamma=120.00
With the nearest neighbours (Å) after each atom.
Space group R-3c (No. 167, hexagonal axes)
Symmetry-distinct sites (fractional):
Ba 0.0000 0.3273 0.2500  12 O 2.84-3.07
Mo 0.0000 0.0000 0.1454  3 O 1.83
O 0.0000 0.1466 0.7500  2 Mo 2.12
O 0.0008 0.1616 0.4097  1 Mo 1.83